The following is a DFT calculation (GGA+U) of a relaxed structure of CrAuO2.

```
CrAuO2
1.0
1.751 0.000 7.009
-0.875 1.516 7.009
-0.875 -1.516 7.009
O Cr Au
2 1 1
direct
0.919 0.919 0.919
0.081 0.081 0.081
0.000 0.000 0.000
0.500 0.500 0.500
```

Computed properties:
V: 55.8 Å³/cell
uncorrected energy: -5.1443 eV/atom